Record 1
PBE La2BePC, optimized geometry; formation enthalpy at 0 K = -561 meV/atom
1.0
5.293 0.000 0.000
0.000 5.293 0.000
0.000 0.000 3.501
La Be P C
2 1 1 1
direct
0.000 0.500 0.000
0.500 0.000 0.000
0.000 0.000 0.500
0.500 0.500 0.500
0.000 0.000 0.000

Record 2
PBE MgBO3, optimized geometry; formation energy without anion corrections = -1989 meV per atom
1.0
5.497 0.000 0.000
-2.749 4.761 0.000
0.000 0.000 8.763
Mg B O
3 3 9
direct
0.000 0.000 0.000
0.333 0.667 0.667
0.667 0.333 0.333
0.000 0.000 0.277
0.333 0.667 0.943
0.667 0.333 0.610
0.192 0.383 0.925
0.192 0.808 0.925
0.283 0.142 0.258
0.525 0.050 0.592
0.525 0.475 0.592
0.617 0.808 0.925
0.858 0.142 0.258
0.858 0.717 0.258
0.950 0.475 0.592

Record 3
PBE NbFe, optimized geometry; formation enthalpy at 0 K = 433 meV/atom
1.0
4.975 0.000 0.000
0.000 4.975 0.000
0.000 0.000 4.928
Nb Fe
4 4
direct
0.215 0.215 0.000
0.285 0.715 0.500
0.715 0.285 0.500
0.785 0.785 0.000
0.205 0.205 0.500
0.295 0.705 0.000
0.705 0.295 0.000
0.795 0.795 0.500

Record 4
PBE PrDyYSc, optimized geometry; formation enthalpy at 0 K = 109 meV/atom; relative energy among the computed polymorphs = 0.0000 eV per atom
1.0
12.192 0.000 0.000
0.000 5.649 0.000
-1.196 0.000 3.631
Pr Dy Y Sc
2 2 2 2
direct
0.000 0.000 0.000
0.500 0.500 0.000
0.044 0.500 0.545
0.544 0.000 0.545
0.278 0.000 0.782
0.778 0.500 0.782
0.270 0.500 0.272
0.770 0.000 0.272

Record 5
PBE LiTmTaRu, optimized geometry; formation enthalpy at 0 K = -82 meV/atom
1.0
6.548 0.000 0.000
0.000 6.548 0.000
0.000 0.000 6.548
Li Tm Ta Ru
4 4 4 4
direct
0.000 0.000 0.000
0.000 0.500 0.500
0.500 0.000 0.500
0.500 0.500 0.000
0.250 0.250 0.750
0.250 0.750 0.250
0.750 0.250 0.250
0.750 0.750 0.750
0.250 0.250 0.250
0.250 0.750 0.750
0.750 0.250 0.750
0.750 0.750 0.250
0.000 0.000 0.500
0.000 0.500 0.000
0.500 0.000 0.000
0.500 0.500 0.500

Record 6
PBE La2BiAu, optimized geometry; formation enthalpy at 0 K = -840 meV/atom
1.0
4.327 0.000 0.000
0.000 24.645 0.000
0.000 0.000 4.881
La Bi Au
8 4 4
direct
0.000 0.057 0.250
0.000 0.322 0.250
0.000 0.678 0.750
0.000 0.943 0.750
0.500 0.178 0.750
0.500 0.443 0.750
0.500 0.557 0.250
0.500 0.822 0.250
0.000 0.188 0.250
0.000 0.812 0.750
0.500 0.312 0.750
0.500 0.688 0.250
0.000 0.459 0.250
0.000 0.541 0.750
0.500 0.041 0.750
0.500 0.959 0.250

Record 7
PBE Dy4MgZn2Pd, optimized geometry; formation enthalpy at 0 K = -416 meV/atom
1.0
2.546 1.470 8.306
-2.546 1.470 8.306
0.000 -2.940 8.306
Dy Mg Zn Pd
4 1 2 1
direct
0.117 0.117 0.117
0.370 0.370 0.370
0.630 0.630 0.630
0.883 0.883 0.883
0.500 0.500 0.500
0.240 0.240 0.240
0.760 0.760 0.760
0.000 0.000 0.000

Record 8
PBE Ti3OsF, optimized geometry; formation energy without anion corrections = -599 meV per atom; relative energy among the computed polymorphs = 0.0000 eV per atom
1.0
4.131 0.000 0.000
0.000 4.131 0.000
0.000 0.000 4.131
Ti Os F
3 1 1
direct
0.000 0.000 0.500
0.000 0.500 0.000
0.500 0.000 0.000
0.500 0.500 0.500
0.000 0.000 0.000

Record 9
PBE CoHgI2, optimized geometry; formation energy without anion corrections = 72 meV per atom; relative energy among the computed polymorphs = 0.0312 eV per atom
1.0
7.945 0.000 0.000
0.000 7.945 0.000
0.000 0.000 9.892
Co Hg I
4 4 8
direct
0.000 0.000 0.000
0.000 0.500 0.250
0.500 0.000 0.750
0.500 0.500 0.500
0.000 0.000 0.500
0.000 0.500 0.750
0.500 0.000 0.250
0.500 0.500 0.000
0.138 0.250 0.125
0.250 0.638 0.375
0.250 0.862 0.875
0.362 0.250 0.625
0.638 0.750 0.625
0.750 0.138 0.875
0.750 0.362 0.375
0.862 0.750 0.125

Record 10
PBE ScMnCoCu, optimized geometry; formation enthalpy at 0 K = -91 meV/atom
1.0
6.115 0.000 0.000
0.000 6.115 0.000
0.000 0.000 6.115
Sc Mn Co Cu
4 4 4 4
direct
0.000 0.000 0.000
0.000 0.500 0.500
0.500 0.000 0.500
0.500 0.500 0.000
0.000 0.000 0.500
0.000 0.500 0.000
0.500 0.000 0.000
0.500 0.500 0.500
0.250 0.250 0.250
0.250 0.750 0.750
0.750 0.250 0.750
0.750 0.750 0.250
0.250 0.250 0.750
0.250 0.750 0.250
0.750 0.250 0.250
0.750 0.750 0.750

Record 11
PBE Co3ReS, optimized geometry; formation energy without anion corrections = 729 meV per atom; relative energy among the computed polymorphs = 0.0000 eV per atom
1.0
4.063 0.000 0.000
0.000 4.063 0.000
0.000 0.000 4.063
Co Re S
3 1 1
direct
0.000 0.000 0.500
0.000 0.500 0.000
0.500 0.000 0.000
0.500 0.500 0.500
0.000 0.000 0.000

Record 12
PBE NaAgPSe3, optimized geometry; formation energy without anion corrections = -350 meV per atom
1.0
6.293 -3.624 0.000
6.293 3.624 0.000
-4.696 0.000 7.028
Na Ag P Se
2 2 2 6
direct
0.166 0.166 0.240
0.834 0.834 0.760
0.237 0.763 0.500
0.763 0.237 0.500
0.471 0.471 0.846
0.529 0.529 0.154
0.176 0.686 0.159
0.262 0.262 0.655
0.314 0.824 0.841
0.686 0.176 0.159
0.738 0.738 0.345
0.824 0.314 0.841

Record 13
PBE MnAlP2S, optimized geometry; formation energy without anion corrections = 1081 meV per atom; relative energy among the computed polymorphs = 0.7366 eV per atom
1.0
4.571 0.000 0.000
0.000 4.571 0.000
0.000 0.000 4.547
Mn Al P S
1 1 2 1
direct
0.000 0.000 0.000
0.500 0.500 0.500
0.000 0.500 0.500
0.500 0.000 0.500
0.500 0.500 0.000

Record 14
PBE ZnTc2Sb, optimized geometry; formation energy without anion corrections = 270 meV per atom; relative energy among the computed polymorphs = 0.1677 eV per atom
1.0
3.216 0.000 0.000
0.000 4.362 0.000
0.000 0.000 9.206
Zn Tc Sb
2 4 2
direct
0.000 0.000 0.000
0.500 0.500 0.500
0.000 0.000 0.509
0.000 0.500 0.251
0.500 0.000 0.751
0.500 0.500 0.009
0.000 0.500 0.767
0.500 0.000 0.267